No. 1
A plane-wave DFT calculation with PBE was carried out for crystalline LiTl2Pb at its relaxed geometry.

Unit cell a=3.5720 b=4.4836 c=6.7963 alpha=90.00 beta=90.00 gamma=90.00
Closest atoms and distances in Å follow each position.
Space group Pmm2 (No. 25)
One atom of each set of equivalent atoms:
Li 0.0000 0.0000 0.0000  4 Pb 3.28, 6 Tl 3.31-3.42, 2 Li 3.57
Tl 0.0000 0.0000 0.4972  6 Tl 3.36-3.57, 4 Pb 3.38, 2 Li 3.38-3.42
Tl 0.5000 0.5000 0.7563  2 Pb 3.25-3.55, 4 Li 3.31, 6 Tl 3.36-3.57
Pb 0.5000 0.5000 0.2346  6 Tl 3.25-3.55, 4 Li 3.28, 2 Pb 3.57

Calculated values
ΔE_f = -24 kJ/mol of formula units
calculated volume = 108.8 Å³/f.u.
total magnetization = 0.00 μB per formula unit

No. 2
A plane-wave DFT calculation with PBE was carried out for crystalline LiTl2Pb4 at its relaxed geometry.

Unit cell a=21.5520 b=3.5865 c=5.5412 alpha=90.00 beta=103.39 gamma=90.00
Closest atoms and distances in Å follow each position.
Space group C2/m (No. 12)
One atom of each set of equivalent atoms:
Li 0.0000 0.0000 0.0000  8 Pb 3.16-3.25
Tl 0.2244 0.5000 0.7225  6 Pb 3.43-3.63, 6 Tl 3.43-3.59
Pb 0.0768 0.0000 0.5787  2 Li 3.16-3.25, 5 Pb 3.22-3.46
Pb 0.1250 0.5000 0.1239  2 Li 3.18, 2 Tl 3.43-3.51, 4 Pb 3.44-3.46

Calculated values
ΔE_f = -15 kJ/mol of formula units
calculated volume = 208.3 Å³/f.u.
total magnetization = 0.00 μB per formula unit

No. 3
A plane-wave DFT calculation with PBE was carried out for crystalline LiTlPb at its relaxed geometry.

Unit cell a=3.7019 b=3.7019 c=11.2337 alpha=90.00 beta=90.00 gamma=90.00
Closest atoms and distances in Å follow each position.
Space group I4mm (No. 107)
One atom of each set of equivalent atoms:
Li 0.0000 0.0000 0.0000  4 Tl 3.13, 4 Pb 3.17
Tl 0.0000 0.0000 0.6521  4 Li 3.13, 5 Pb 3.37-3.50
Pb 0.0000 0.0000 0.3410  4 Li 3.17, 5 Tl 3.37-3.50

Calculated values
ΔE_f = -41 kJ/mol of formula units
calculated volume = 77.0 Å³/f.u.
total magnetization = 0.00 μB per formula unit